No. 1
Below is La8InGa3I4 after structural relaxation, with properties calculated at the GGA-PBE level.

abc: 9.239 9.239 9.239
angles: 59.14 59.14 59.14
Sites, in units of the cell vectors:
La (0.231, 0.746, 0.746)
La (0.237, 0.237, 0.237)
La (0.254, 0.254, 0.769)
La (0.254, 0.769, 0.254)
La (0.746, 0.231, 0.746)
La (0.746, 0.746, 0.231)
La (0.763, 0.763, 0.763)
La (0.769, 0.254, 0.254)
In (0.500, 0.500, 0.500)
Ga (0.000, 0.000, 0.500)
Ga (0.000, 0.500, 0.000)
Ga (0.500, 0.000, 0.000)
I (0.000, 0.000, 0.000)
I (0.000, 0.500, 0.500)
I (0.500, 0.000, 0.500)
I (0.500, 0.500, 0.000)

* magnetic moment: 0.00 Bohr magnetons per cell
* ΔE_f (raw): -0.79 eV/atom
* SG: R-3m


No. 2
Below is LiIn2GaI4 after structural relaxation, with properties calculated at the GGA-PBE level.

abc: 8.129 4.670 8.325
angles: 90.00 108.66 90.00
Sites, in units of the cell vectors:
Li (0.000, 0.000, 0.000)
In (0.000, 0.500, 0.500)
In (0.500, 0.000, 0.500)
Ga (0.500, 0.500, 0.000)
I (0.227, 0.500, 0.217)
I (0.244, 0.000, 0.777)
I (0.756, 0.000, 0.223)
I (0.773, 0.500, 0.783)

* magnetic moment: 0.00 Bohr magnetons per cell
* ΔE_f (raw): -0.59 eV/atom
* SG: P2/m


No. 3
Below is LiInGaI3 after structural relaxation, with properties calculated at the GGA-PBE level.

abc: 9.747 4.686 10.464
angles: 90.00 101.29 90.00
Sites, in units of the cell vectors:
Li (0.089, 0.250, 0.099)
Li (0.911, 0.750, 0.901)
In (0.181, 0.250, 0.705)
In (0.819, 0.750, 0.295)
Ga (0.344, 0.750, 0.355)
Ga (0.656, 0.250, 0.645)
I (0.104, 0.250, 0.366)
I (0.196, 0.750, 0.013)
I (0.423, 0.750, 0.663)
I (0.577, 0.250, 0.337)
I (0.804, 0.250, 0.987)
I (0.896, 0.750, 0.634)

* magnetic moment: 0.00 Bohr magnetons per cell
* ΔE_f (raw): -0.66 eV/atom
* SG: P2_1/m


No. 4
Below is MnInGaI4 after structural relaxation, with properties calculated at the GGA-PBE level.

abc: 7.772 8.308 9.284
angles: 90.00 107.16 90.00
Sites, in units of the cell vectors:
Mn (0.234, 0.250, 0.313)
Mn (0.766, 0.750, 0.687)
In (0.216, 0.750, 0.054)
In (0.784, 0.250, 0.946)
Ga (0.235, 0.750, 0.553)
Ga (0.765, 0.250, 0.447)
I (0.004, 0.502, 0.257)
I (0.004, 0.998, 0.257)
I (0.443, 0.250, 0.130)
I (0.447, 0.250, 0.598)
I (0.553, 0.750, 0.402)
I (0.557, 0.750, 0.870)
I (0.996, 0.002, 0.743)
I (0.996, 0.498, 0.743)

* magnetic moment: 10.00 Bohr magnetons per cell
* ΔE_f (raw): -0.40 eV/atom
* SG: P2_1/m


No. 5
Below is Na2InGa3I6 after structural relaxation, with properties calculated at the GGA-PBE level.

abc: 10.533 10.533 9.490
angles: 102.57 102.57 25.88
Sites, in units of the cell vectors:
Na (0.169, 0.169, 0.338)
Na (0.831, 0.831, 0.662)
In (0.500, 0.500, 0.000)
Ga (0.168, 0.168, 0.831)
Ga (0.500, 0.500, 0.500)
Ga (0.832, 0.832, 0.169)
I (0.006, 0.006, 0.265)
I (0.327, 0.327, 0.906)
I (0.331, 0.331, 0.417)
I (0.669, 0.669, 0.583)
I (0.673, 0.673, 0.094)
I (0.994, 0.994, 0.735)

* magnetic moment: 0.00 Bohr magnetons per cell
* ΔE_f (raw): -0.66 eV/atom
* SG: C2/m


No. 6
Below is NaInGa2I4 after structural relaxation, with properties calculated at the GGA-PBE level.

abc: 8.227 4.739 8.253
angles: 90.00 109.36 90.00
Sites, in units of the cell vectors:
Na (0.000, 0.000, 0.000)
In (0.000, 0.500, 0.500)
Ga (0.500, 0.000, 0.500)
Ga (0.500, 0.500, 0.000)
I (0.251, 0.500, 0.240)
I (0.259, 0.000, 0.763)
I (0.741, 0.000, 0.237)
I (0.749, 0.500, 0.760)

* magnetic moment: 0.00 Bohr magnetons per cell
* ΔE_f (raw): -0.59 eV/atom
* SG: P2/m


No. 7
Below is NdInGa2I6 after structural relaxation, with properties calculated at the GGA-PBE level.

abc: 8.927 8.927 8.927
angles: 55.31 55.31 55.31
Sites, in units of the cell vectors:
Nd (0.000, 0.000, 0.000)
In (0.508, 0.508, 0.508)
Ga (0.319, 0.319, 0.319)
Ga (0.814, 0.814, 0.814)
I (0.091, 0.383, 0.741)
I (0.193, 0.934, 0.605)
I (0.383, 0.741, 0.091)
I (0.605, 0.193, 0.934)
I (0.741, 0.091, 0.383)
I (0.934, 0.605, 0.193)

* magnetic moment: 0.00 Bohr magnetons per cell
* ΔE_f (raw): -0.79 eV/atom
* SG: R3


No. 8
Below is NdIn2GaI6 after structural relaxation, with properties calculated at the GGA-PBE level.

abc: 8.874 8.874 8.874
angles: 57.35 57.35 57.35
Sites, in units of the cell vectors:
Nd (0.000, 0.000, 0.000)
In (0.307, 0.307, 0.307)
In (0.802, 0.802, 0.802)
Ga (0.505, 0.505, 0.505)
I (0.131, 0.353, 0.743)
I (0.218, 0.879, 0.638)
I (0.353, 0.743, 0.131)
I (0.638, 0.218, 0.879)
I (0.743, 0.131, 0.353)
I (0.879, 0.638, 0.218)

* magnetic moment: 0.00 Bohr magnetons per cell
* ΔE_f (raw): -0.81 eV/atom
* SG: R3


No. 9
Below is NpInGa2I6 after structural relaxation, with properties calculated at the GGA-PBE level.

abc: 8.969 8.969 8.969
angles: 54.67 54.67 54.67
Sites, in units of the cell vectors:
Np (0.000, 0.000, 0.000)
In (0.507, 0.507, 0.507)
Ga (0.321, 0.321, 0.321)
Ga (0.816, 0.816, 0.816)
I (0.092, 0.381, 0.748)
I (0.195, 0.935, 0.607)
I (0.381, 0.748, 0.092)
I (0.607, 0.195, 0.935)
I (0.748, 0.092, 0.381)
I (0.935, 0.607, 0.195)

* magnetic moment: 4.00 Bohr magnetons per cell
* ΔE_f (raw): -0.57 eV/atom
* SG: R3


No. 10
Below is InGaI2O after structural relaxation, with properties calculated at the GGA-PBE level.

abc: 6.171 6.171 3.661
angles: 90.00 90.00 90.00
Sites, in units of the cell vectors:
In (0.000, 0.000, 0.000)
Ga (0.500, 0.500, 0.500)
I (0.000, 0.500, 0.500)
I (0.500, 0.000, 0.500)
O (0.500, 0.500, 0.000)

* magnetic moment: 0.00 Bohr magnetons per cell
* ΔE_f (raw): -0.56 eV/atom
* E above lowest polymorph: 0.00 eV/f.u.
* SG: P4/mmm


No. 11
Below is InGa2IO8 after structural relaxation, with properties calculated at the GGA-PBE level.

abc: 4.683 4.683 6.323
angles: 90.00 90.00 91.51
Sites, in units of the cell vectors:
In (0.000, 0.000, 0.000)
Ga (0.500, 0.500, 0.241)
Ga (0.500, 0.500, 0.759)
I (0.000, 0.000, 0.500)
O (0.194, 0.806, 0.280)
O (0.194, 0.806, 0.720)
O (0.299, 0.299, 0.500)
O (0.316, 0.316, 0.000)
O (0.684, 0.684, 0.000)
O (0.701, 0.701, 0.500)
O (0.806, 0.194, 0.280)
O (0.806, 0.194, 0.720)

* magnetic moment: 0.00 Bohr magnetons per cell
* ΔE_f (raw): -1.11 eV/atom
* SG: Cmmm


No. 12
Below is InGaI2O after structural relaxation, with properties calculated at the GGA-PBE level.

abc: 6.085 6.085 4.019
angles: 90.00 90.00 90.00
Sites, in units of the cell vectors:
In (0.000, 0.000, 0.000)
Ga (0.500, 0.500, 0.500)
I (0.000, 0.500, 0.000)
I (0.500, 0.000, 0.000)
O (0.000, 0.000, 0.500)

* magnetic moment: 0.00 Bohr magnetons per cell
* ΔE_f (raw): -0.47 eV/atom
* E above lowest polymorph: 0.47 eV/f.u.
* SG: P4/mmm


No. 13
Below is In3Ga3PbI8 after structural relaxation, with properties calculated at the GGA-PBE level.

abc: 9.533 9.533 9.738
angles: 119.36 119.36 59.95
Sites, in units of the cell vectors:
In (0.000, 0.000, 0.000)
In (0.000, 0.500, 0.000)
In (0.500, 0.000, 0.000)
Ga (0.000, 0.500, 0.500)
Ga (0.500, 0.000, 0.500)
Ga (0.500, 0.500, 0.500)
Pb (0.000, 0.000, 0.500)
I (0.241, 0.241, 0.730)
I (0.241, 0.748, 0.730)
I (0.252, 0.759, 0.270)
I (0.256, 0.256, 0.267)
I (0.744, 0.744, 0.733)
I (0.748, 0.241, 0.730)
I (0.759, 0.252, 0.270)
I (0.759, 0.759, 0.270)

* magnetic moment: 0.00 Bohr magnetons per cell
* ΔE_f (raw): -0.45 eV/atom
* SG: C2/m


No. 14
Below is InGaPbI2 after structural relaxation, with properties calculated at the GGA-PBE level.

abc: 6.392 6.392 5.639
angles: 90.00 90.00 90.00
Sites, in units of the cell vectors:
In (0.000, 0.000, 0.000)
Ga (0.500, 0.500, 0.000)
Pb (0.500, 0.500, 0.500)
I (0.000, 0.500, 0.500)
I (0.500, 0.000, 0.500)

* magnetic moment: 0.00 Bohr magnetons per cell
* ΔE_f (raw): 0.04 eV/atom
* SG: P4/mmm


No. 15
Below is In2GaPdI after structural relaxation, with properties calculated at the GGA-PBE level.

abc: 5.353 5.353 4.917
angles: 90.00 90.00 90.00
Sites, in units of the cell vectors:
In (0.000, 0.500, 0.000)
In (0.500, 0.000, 0.000)
Ga (0.000, 0.000, 0.500)
Pd (0.000, 0.000, 0.000)
I (0.500, 0.500, 0.500)

* magnetic moment: 0.00 Bohr magnetons per cell
* ΔE_f (raw): -0.35 eV/atom
* SG: P4/mmm


No. 16
Below is InGaPdI2 after structural relaxation, with properties calculated at the GGA-PBE level.

abc: 6.002 6.002 4.796
angles: 90.00 90.00 90.00
Sites, in units of the cell vectors:
In (0.000, 0.000, 0.000)
Ga (0.500, 0.500, 0.500)
Pd (0.500, 0.500, 0.000)
I (0.000, 0.500, 0.500)
I (0.500, 0.000, 0.500)

* magnetic moment: 0.00 Bohr magnetons per cell
* ΔE_f (raw): 0.02 eV/atom
* SG: P4/mmm


No. 17
Below is PmInGa2I6 after structural relaxation, with properties calculated at the GGA-PBE level.

abc: 8.912 8.912 8.912
angles: 55.30 55.30 55.30
Sites, in units of the cell vectors:
Pm (0.000, 0.000, 0.000)
In (0.508, 0.508, 0.508)
Ga (0.319, 0.319, 0.319)
Ga (0.814, 0.814, 0.814)
I (0.091, 0.381, 0.744)
I (0.194, 0.933, 0.607)
I (0.381, 0.744, 0.091)
I (0.607, 0.194, 0.933)
I (0.744, 0.091, 0.381)
I (0.933, 0.607, 0.194)

* magnetic moment: 0.00 Bohr magnetons per cell
* ΔE_f (raw): -0.79 eV/atom
* SG: R3


No. 18
Below is Pr8InGa3I4 after structural relaxation, with properties calculated at the GGA-PBE level.

abc: 9.209 9.209 9.209
angles: 57.77 57.77 57.77
Sites, in units of the cell vectors:
Pr (0.230, 0.745, 0.745)
Pr (0.237, 0.237, 0.237)
Pr (0.255, 0.255, 0.770)
Pr (0.255, 0.770, 0.255)
Pr (0.745, 0.230, 0.745)
Pr (0.745, 0.745, 0.230)
Pr (0.763, 0.763, 0.763)
Pr (0.770, 0.255, 0.255)
In (0.500, 0.500, 0.500)
Ga (0.000, 0.000, 0.500)
Ga (0.000, 0.500, 0.000)
Ga (0.500, 0.000, 0.000)
I (0.000, 0.000, 0.000)
I (0.000, 0.500, 0.500)
I (0.500, 0.000, 0.500)
I (0.500, 0.500, 0.000)

* magnetic moment: 0.00 Bohr magnetons per cell
* ΔE_f (raw): -0.74 eV/atom
* SG: R-3m


No. 19
Below is In2GaPtI after structural relaxation, with properties calculated at the GGA-PBE level.

abc: 5.633 5.633 4.713
angles: 90.00 90.00 90.00
Sites, in units of the cell vectors:
In (0.000, 0.500, 0.000)
In (0.500, 0.000, 0.000)
Ga (0.000, 0.000, 0.000)
Pt (0.000, 0.000, 0.500)
I (0.500, 0.500, 0.500)

* magnetic moment: 0.00 Bohr magnetons per cell
* ΔE_f (raw): 0.10 eV/atom
* E above lowest polymorph: 2.78 eV/f.u.
* SG: P4/mmm


No. 20
Below is InGa2PtI after structural relaxation, with properties calculated at the GGA-PBE level.

abc: 4.933 4.933 5.375
angles: 90.00 90.00 90.00
Sites, in units of the cell vectors:
In (0.000, 0.000, 0.000)
Ga (0.000, 0.500, 0.500)
Ga (0.500, 0.000, 0.500)
Pt (0.000, 0.000, 0.500)
I (0.500, 0.500, 0.000)

* magnetic moment: 0.00 Bohr magnetons per cell
* ΔE_f (raw): -0.46 eV/atom
* SG: P4/mmm


No. 21
Below is In2GaPtI after structural relaxation, with properties calculated at the GGA-PBE level.

abc: 5.339 5.339 4.895
angles: 90.00 90.00 90.00
Sites, in units of the cell vectors:
In (0.000, 0.500, 0.000)
In (0.500, 0.000, 0.000)
Ga (0.000, 0.000, 0.500)
Pt (0.000, 0.000, 0.000)
I (0.500, 0.500, 0.500)

* magnetic moment: 0.00 Bohr magnetons per cell
* ΔE_f (raw): -0.46 eV/atom
* E above lowest polymorph: 0.00 eV/f.u.
* SG: P4/mmm


No. 22
Below is PuIn2GaI6 after structural relaxation, with properties calculated at the GGA-PBE level.

abc: 8.850 8.850 8.850
angles: 57.23 57.23 57.23
Sites, in units of the cell vectors:
Pu (0.000, 0.000, 0.000)
In (0.309, 0.309, 0.309)
In (0.802, 0.802, 0.802)
Ga (0.505, 0.505, 0.505)
I (0.136, 0.348, 0.748)
I (0.218, 0.878, 0.641)
I (0.348, 0.748, 0.136)
I (0.641, 0.218, 0.878)
I (0.748, 0.136, 0.348)
I (0.878, 0.641, 0.218)

* magnetic moment: 5.00 Bohr magnetons per cell
* ΔE_f (raw): -0.67 eV/atom
* SG: R3


No. 23
Below is Rb2In3GaI6 after structural relaxation, with properties calculated at the GGA-PBE level.

abc: 11.249 11.249 10.112
angles: 102.26 102.26 25.86
Sites, in units of the cell vectors:
Rb (0.165, 0.165, 0.327)
Rb (0.835, 0.835, 0.673)
In (0.166, 0.166, 0.836)
In (0.500, 0.500, 0.500)
In (0.834, 0.834, 0.164)
Ga (0.500, 0.500, 0.000)
I (0.006, 0.006, 0.764)
I (0.338, 0.338, 0.412)
I (0.344, 0.344, 0.934)
I (0.656, 0.656, 0.066)
I (0.662, 0.662, 0.588)
I (0.994, 0.994, 0.236)

* magnetic moment: 0.00 Bohr magnetons per cell
* ΔE_f (raw): -0.77 eV/atom
* SG: C2/m